Below is an optimized crystal structure of NiHgSb2, with properties calculated at the PBE level.

Output
Total moment (μB/cell): 0.0
Total energy (eV/atom): -3.209
Formation energy from raw total energies (kJ per mole of atoms): 36
Theoretical density (g/cm³): 9.44

Unit cell a=5.9889 b=7.6960 c=3.8375 alpha=90.00 beta=90.00 gamma=90.00
Last column: nearest neighbours and their distance in Å.
Space group Cmmm (No. 65)
Inequivalent atoms, fractional coordinates:
Ni1 0.0000 0.0000 0.0000 x2  2 Hg 2.99, 8 Sb 3.10
Hg1 0.0000 0.5000 0.0000 x2  2 Ni 2.99, 8 Sb 3.10
Sb1 0.2500 0.2500 0.5000 x4  2 Sb 2.99, 4 Hg 3.10, 4 Ni 3.10